CrCoTe2: optimized geometry, PBE-GGA.

As for the energy relative to the elements, uncorrected: 38.90 kJ per mole of atoms. The value obtained for the total energy is -5.35 eV/atom.

It has space group Fm-3m (No. 225), with a = 6.7029 Å, b = 6.7029 Å, c = 6.7029 Å, α = 90.00°, β = 90.00° and γ = 90.00°. Symmetry generates all atoms from Cr at (0.0000, 0.0000, 0.0000), Co at (0.0000, 0.0000, 0.5000) and Te at (0.2500, 0.2500, 0.2500).

***

Ce4Hg5Pb: optimized geometry, PBE-GGA.

Its formation energy is -31 kJ per mole of atoms. The value obtained for the total energy is -3.22 eV/atom.

It has space group C2/m (No. 12), with a = 16.4839 Å, b = 5.2166 Å, c = 6.6145 Å, α = 90.00°, β = 104.03° and γ = 90.00°. Symmetry generates all atoms from Ce at (0.0964, 0.0000, 0.3279), Ce at (0.1910, 0.5000, 0.8379), Hg at (0.0000, 0.5000, 0.0000), Hg at (0.0979, 0.0000, 0.8488), Hg at (0.2206, 0.5000, 0.3456) and Pb at (0.0000, 0.5000, 0.5000).

***

InOs2Ru: optimized geometry, PBE-GGA.

Its formation energy is 42 kJ per mole of atoms. The value obtained for the total energy is -8.18 eV/atom.

It has space group R-3m (No. 166, hexagonal axes), with a = 2.8133 Å, b = 2.8133 Å, c = 27.3682 Å, α = 90.00°, β = 90.00° and γ = 120.00°. Symmetry generates all atoms from In at (0.0000, 0.0000, 0.0000), Os at (0.0000, 0.0000, 0.2446) and Ru at (0.0000, 0.0000, 0.5000).

***

Cs2Sn5Pb3: optimized geometry, PBE-GGA.

Its formation energy is -14 kJ per mole of atoms. The value obtained for the total energy is -3.43 eV/atom.

It has space group Ibam (No. 72), with a = 13.6325 Å, b = 14.9750 Å, c = 7.3554 Å, α = 90.00°, β = 90.00° and γ = 90.00°. Symmetry generates all atoms from Cs at (0.2503, 0.1235, 0.0000), Sn at (0.0000, 0.0000, 0.2500), Sn at (0.0000, 0.2516, 0.2500), Sn at (0.1238, 0.3698, 0.0000), Pb at (0.0000, 0.5000, 0.2500) and Pb at (0.1301, 0.1257, 0.5000).

***

Mg2SnPb: optimized geometry, PBE-GGA.

Its formation energy is 10 kJ per mole of atoms. The value obtained for the total energy is -2.62 eV/atom.

It has space group I-42d (No. 122), with a = 8.2024 Å, b = 8.2024 Å, c = 6.4981 Å, α = 90.00°, β = 90.00° and γ = 90.00°. Symmetry generates all atoms from Mg at (0.2386, 0.2500, 0.1250), Sn at (0.0000, 0.0000, 0.0000) and Pb at (0.0000, 0.0000, 0.5000).

***

LiPaRh2: optimized geometry, PBE-GGA.

Its formation energy is -18 kJ per mole of atoms. The value obtained for the total energy is -6.71 eV/atom.

It has space group R-3m (No. 166, hexagonal axes), with a = 3.0258 Å, b = 3.0258 Å, c = 25.8381 Å, α = 90.00°, β = 90.00° and γ = 120.00°. Symmetry generates all atoms from Li at (0.0000, 0.0000, 0.0000), Pa at (0.0000, 0.0000, 0.5000) and Rh at (0.0000, 0.0000, 0.2552).

***

TbScBeAu: optimized geometry, PBE-GGA.

Its formation energy is -31 kJ per mole of atoms. The value obtained for the total energy is -4.81 eV/atom.

It has space group F-43m (No. 216), with a = 6.8780 Å, b = 6.8780 Å, c = 6.8780 Å, α = 90.00°, β = 90.00° and γ = 90.00°. Symmetry generates all atoms from Tb at (0.0000, 0.0000, 0.0000), Sc at (0.0000, 0.0000, 0.5000), Be at (0.2500, 0.2500, 0.7500) and Au at (0.2500, 0.2500, 0.2500).

***

LaBiAu5: optimized geometry, PBE-GGA.

Its formation energy is -39 kJ per mole of atoms. The value obtained for the total energy is -4.00 eV/atom.

It has space group Pnma (No. 62), with a = 9.7112 Å, b = 5.5254 Å, c = 11.7917 Å, α = 90.00°, β = 90.00° and γ = 90.00°. Symmetry generates all atoms from La at (0.2503, 0.2500, 0.0756), Bi at (0.1600, 0.2500, 0.3636), Au at (0.0303, 0.2500, 0.5802), Au at (0.0526, 0.5010, 0.7971), Au at (0.0736, 0.7500, 0.0085) and Au at (0.2086, 0.7500, 0.2214).